Model a:
VASP calculation (PBE-GGA) on an optimized crystal structure of GaCoMoAu.

Magnetization in μB/f.u.: 0.02
Calculated density in g/cm³: 11.7

a b c (Å): 6.2028 6.2028 6.2028
angles (deg): 90.00 90.00 90.00
Space group F-43m (No. 216)
Asymmetric unit:
1 Ga 0.0000 0.0000 0.0000 (multiplicity 4)
2 Co 0.2500 0.2500 0.2500 (multiplicity 4)
3 Mo 0.0000 0.0000 0.5000 (multiplicity 4)
4 Au 0.2500 0.2500 0.7500 (multiplicity 4)

Model b:
VASP calculation (PBE-GGA) on an optimized crystal structure of GaCoMoAu.

Magnetization in μB/f.u.: 0.13
Calculated density in g/cm³: 11.9

a b c (Å): 6.1757 6.1757 6.1757
angles (deg): 90.00 90.00 90.00
Space group F-43m (No. 216)
Asymmetric unit:
1 Ga 0.0000 0.0000 0.0000 (multiplicity 4)
2 Co 0.2500 0.2500 0.2500 (multiplicity 4)
3 Mo 0.2500 0.2500 0.7500 (multiplicity 4)
4 Au 0.0000 0.0000 0.5000 (multiplicity 4)

Relative energies, in meV/atom, with the most stable structure set to zero: model a 66; model b 0.

Model a:
VASP calculation (PBE-GGA) on an optimized crystal structure of TaGaCoAu.

Magnetization in μB/f.u.: 0.24
Calculated density in g/cm³: 13.7

a b c (Å): 6.2696 6.2696 6.2696
angles (deg): 90.00 90.00 90.00
Space group F-43m (No. 216)
Asymmetric unit:
1 Ta 0.0000 0.0000 0.0000 (multiplicity 4)
2 Ga 0.0000 0.0000 0.5000 (multiplicity 4)
3 Co 0.2500 0.2500 0.7500 (multiplicity 4)
4 Au 0.2500 0.2500 0.2500 (multiplicity 4)

Model b:
VASP calculation (PBE-GGA) on an optimized crystal structure of TaGaCoAu.

Magnetization in μB/f.u.: 0.38
Calculated density in g/cm³: 13.8

a b c (Å): 6.2519 6.2519 6.2519
angles (deg): 90.00 90.00 90.00
Space group F-43m (No. 216)
Asymmetric unit:
1 Ta 0.0000 0.0000 0.0000 (multiplicity 4)
2 Ga 0.2500 0.2500 0.2500 (multiplicity 4)
3 Co 0.0000 0.0000 0.5000 (multiplicity 4)
4 Au 0.2500 0.2500 0.7500 (multiplicity 4)

Model c:
VASP calculation (PBE-GGA) on an optimized crystal structure of TaGaCoAu.

Magnetization in μB/f.u.: 0.14
Calculated density in g/cm³: 14.0

a b c (Å): 6.2151 6.2151 6.2151
angles (deg): 90.00 90.00 90.00
Space group F-43m (No. 216)
Asymmetric unit:
1 Ta 0.0000 0.0000 0.0000 (multiplicity 4)
2 Ga 0.2500 0.2500 0.2500 (multiplicity 4)
3 Co 0.2500 0.2500 0.7500 (multiplicity 4)
4 Au 0.0000 0.0000 0.5000 (multiplicity 4)

Relative energies, in meV/atom, with the most stable structure set to zero: model a 23; model b 53; model c 0.

Model a:
VASP calculation (PBE-GGA) on an optimized crystal structure of YGaCoAu.

Magnetization in μB/f.u.: 1.56
Calculated density in g/cm³: 9.4

a b c (Å): 6.6517 6.6517 6.6517
angles (deg): 90.00 90.00 90.00
Space group F-43m (No. 216)
Asymmetric unit:
1 Y 0.0000 0.0000 0.0000 (multiplicity 4)
2 Ga 0.2500 0.2500 0.2500 (multiplicity 4)
3 Co 0.0000 0.0000 0.5000 (multiplicity 4)
4 Au 0.2500 0.2500 0.7500 (multiplicity 4)

Model b:
VASP calculation (PBE-GGA) on an optimized crystal structure of YGaCoAu.

Magnetization in μB/f.u.: 1.37
Calculated density in g/cm³: 9.5

a b c (Å): 6.6107 6.6107 6.6107
angles (deg): 90.00 90.00 90.00
Space group F-43m (No. 216)
Asymmetric unit:
1 Y 0.0000 0.0000 0.0000 (multiplicity 4)
2 Ga 0.0000 0.0000 0.5000 (multiplicity 4)
3 Co 0.2500 0.2500 0.7500 (multiplicity 4)
4 Au 0.2500 0.2500 0.2500 (multiplicity 4)

Relative energies, in meV/atom, with the most stable structure set to zero: model a 70; model b 0.

Model a:
VASP calculation (PBE-GGA) on an optimized crystal structure of ZnGaCoAu.

Magnetization in μB/f.u.: 1.04
Calculated density in g/cm³: 11.3

a b c (Å): 6.1219 6.1219 6.1219
angles (deg): 90.00 90.00 90.00
Space group F-43m (No. 216)
Asymmetric unit:
1 Zn 0.0000 0.0000 0.0000 (multiplicity 4)
2 Ga 0.0000 0.0000 0.5000 (multiplicity 4)
3 Co 0.2500 0.2500 0.7500 (multiplicity 4)
4 Au 0.2500 0.2500 0.2500 (multiplicity 4)

Model b:
VASP calculation (PBE-GGA) on an optimized crystal structure of ZnGaCoAu.

Magnetization in μB/f.u.: 0.81
Calculated density in g/cm³: 11.2

a b c (Å): 6.1423 6.1423 6.1423
angles (deg): 90.00 90.00 90.00
Space group F-43m (No. 216)
Asymmetric unit:
1 Zn 0.0000 0.0000 0.0000 (multiplicity 4)
2 Ga 0.2500 0.2500 0.2500 (multiplicity 4)
3 Co 0.0000 0.0000 0.5000 (multiplicity 4)
4 Au 0.2500 0.2500 0.7500 (multiplicity 4)

Relative energies, in meV/atom, with the most stable structure set to zero: model a 0; model b 86.

Model a:
VASP calculation (PBE-GGA) on an optimized crystal structure of HfCoGeAu.

Magnetization in μB/f.u.: 0.42
Calculated density in g/cm³: 12.9

a b c (Å): 6.3967 6.3967 6.3967
angles (deg): 90.00 90.00 90.00
Space group F-43m (No. 216)
Asymmetric unit:
1 Hf 0.0000 0.0000 0.0000 (multiplicity 4)
2 Co 0.2500 0.2500 0.7500 (multiplicity 4)
3 Ge 0.0000 0.0000 0.5000 (multiplicity 4)
4 Au 0.2500 0.2500 0.2500 (multiplicity 4)

Model b:
VASP calculation (PBE-GGA) on an optimized crystal structure of HfCoGeAu.

Magnetization in μB/f.u.: 0.47
Calculated density in g/cm³: 13.1

a b c (Å): 6.3646 6.3646 6.3646
angles (deg): 90.00 90.00 90.00
Space group F-43m (No. 216)
Asymmetric unit:
1 Hf 0.0000 0.0000 0.0000 (multiplicity 4)
2 Co 0.2500 0.2500 0.7500 (multiplicity 4)
3 Ge 0.2500 0.2500 0.2500 (multiplicity 4)
4 Au 0.0000 0.0000 0.5000 (multiplicity 4)

Relative energies, in meV/atom, with the most stable structure set to zero: model a 0; model b 53.

Model a:
VASP calculation (PBE-GGA) on an optimized crystal structure of CoNiGeAu.

Magnetization in μB/f.u.: 0.74
Calculated density in g/cm³: 11.9

a b c (Å): 5.9988 5.9988 5.9988
angles (deg): 90.00 90.00 90.00
Space group F-43m (No. 216)
Asymmetric unit:
1 Co 0.0000 0.0000 0.0000 (multiplicity 4)
2 Ni 0.0000 0.0000 0.5000 (multiplicity 4)
3 Ge 0.2500 0.2500 0.7500 (multiplicity 4)
4 Au 0.2500 0.2500 0.2500 (multiplicity 4)

Model b:
VASP calculation (PBE-GGA) on an optimized crystal structure of CoNiGeAu.

Magnetization in μB/f.u.: 1.08
Calculated density in g/cm³: 11.7

a b c (Å): 6.0285 6.0285 6.0285
angles (deg): 90.00 90.00 90.00
Space group F-43m (No. 216)
Asymmetric unit:
1 Co 0.0000 0.0000 0.0000 (multiplicity 4)
2 Ni 0.2500 0.2500 0.2500 (multiplicity 4)
3 Ge 0.2500 0.2500 0.7500 (multiplicity 4)
4 Au 0.0000 0.0000 0.5000 (multiplicity 4)

Relative energies, in meV/atom, with the most stable structure set to zero: model a 0; model b 115.

Model a:
VASP calculation (PBE-GGA) on an optimized crystal structure of CoGeWAu.

Magnetization in μB/f.u.: 0.76
Calculated density in g/cm³: 14.2

a b c (Å): 6.2146 6.2146 6.2146
angles (deg): 90.00 90.00 90.00
Space group F-43m (No. 216)
Asymmetric unit:
1 Co 0.0000 0.0000 0.0000 (multiplicity 4)
2 Ge 0.2500 0.2500 0.7500 (multiplicity 4)
3 W 0.0000 0.0000 0.5000 (multiplicity 4)
4 Au 0.2500 0.2500 0.2500 (multiplicity 4)

Model b:
VASP calculation (PBE-GGA) on an optimized crystal structure of CoGeWAu.

Magnetization in μB/f.u.: 0.14
Calculated density in g/cm³: 13.9

a b c (Å): 6.2577 6.2577 6.2577
angles (deg): 90.00 90.00 90.00
Space group F-43m (No. 216)
Asymmetric unit:
1 Co 0.0000 0.0000 0.0000 (multiplicity 4)
2 Ge 0.2500 0.2500 0.7500 (multiplicity 4)
3 W 0.2500 0.2500 0.2500 (multiplicity 4)
4 Au 0.0000 0.0000 0.5000 (multiplicity 4)

Relative energies, in meV/atom, with the most stable structure set to zero: model a 0; model b 229.

Model a:
VASP calculation (PBE-GGA) on an optimized crystal structure of ZnCoGeAu.

Magnetization in μB/f.u.: 1.09
Calculated density in g/cm³: 11.0

a b c (Å): 6.1950 6.1950 6.1950
angles (deg): 90.00 90.00 90.00
Space group F-43m (No. 216)
Asymmetric unit:
1 Zn 0.0000 0.0000 0.0000 (multiplicity 4)
2 Co 0.2500 0.2500 0.7500 (multiplicity 4)
3 Ge 0.0000 0.0000 0.5000 (multiplicity 4)
4 Au 0.2500 0.2500 0.2500 (multiplicity 4)

Model b:
VASP calculation (PBE-GGA) on an optimized crystal structure of ZnCoGeAu.

Magnetization in μB/f.u.: 1.01
Calculated density in g/cm³: 10.9

a b c (Å): 6.2136 6.2136 6.2136
angles (deg): 90.00 90.00 90.00
Space group F-43m (No. 216)
Asymmetric unit:
1 Zn 0.0000 0.0000 0.0000 (multiplicity 4)
2 Co 0.0000 0.0000 0.5000 (multiplicity 4)
3 Ge 0.2500 0.2500 0.2500 (multiplicity 4)
4 Au 0.2500 0.2500 0.7500 (multiplicity 4)

Relative energies, in meV/atom, with the most stable structure set to zero: model a 0; model b 35.